[1]
DFT (GGA-PBE) results for a relaxed structure of Ac4Pm2Pr.

Properties
Space-group type   No. 166
Formation energy from the elements   15.01 kJ/mol of atoms
E_tot   -4.232 eV/atom
Energy above the lowest structure with this stoichiometry   0 meV per atom

abc: 6.214 6.214 9.284
angles: 70.45 70.45 60.00
Element x y z (fractional)
Ac: 0.423 0.423 0.730
Ac: 0.273 0.273 0.182
Ac: 0.727 0.727 0.818
Ac: 0.577 0.577 0.270
Pm: 0.136 0.136 0.591
Pm: 0.864 0.864 0.409
Pr: 0.000 0.000 0.000

---

[2]
DFT (GGA-PBE) results for a relaxed structure of Ac3Pm2Pr.

Properties
Space-group type   No. 15
Formation energy from the elements   9.45 kJ/mol of atoms
E_tot   -4.336 eV/atom
Energy above the lowest structure with this stoichiometry   0 meV per atom

abc: 7.210 9.463 7.210
angles: 82.35 83.73 97.65
Element x y z (fractional)
Ac: 0.556 0.250 0.556
Ac: 0.444 0.750 0.444
Ac: 0.133 0.977 0.704
Ac: 0.704 0.523 0.133
Ac: 0.296 0.477 0.867
Ac: 0.867 0.023 0.296
Pm: 0.881 0.619 0.616
Pm: 0.384 0.119 0.119
Pm: 0.616 0.881 0.881
Pm: 0.119 0.381 0.384
Pr: 0.121 0.750 0.121
Pr: 0.879 0.250 0.879

---

[3]
DFT (GGA-PBE) results for a relaxed structure of Ac2Pm4Pr.

Properties
Space-group type   No. 139
Formation energy from the elements   54.75 kJ/mol of atoms
E_tot   -4.004 eV/atom
Energy above the lowest structure with this stoichiometry   287 meV per atom

abc: 5.772 5.772 9.990
angles: 106.79 106.79 90.00
Element x y z (fractional)
Ac: 0.628 0.628 0.256
Ac: 0.372 0.372 0.744
Pm: 0.828 0.828 0.656
Pm: 0.172 0.172 0.344
Pm: 0.000 0.500 0.000
Pm: 0.500 0.000 0.000
Pr: 0.000 0.000 0.000

---

[4]
DFT (GGA-PBE) results for a relaxed structure of Ac4Pm5Pr2.

Properties
Space-group type   No. 12
Formation energy from the elements   9.57 kJ/mol of atoms
E_tot   -4.423 eV/atom

abc: 3.729 12.319 9.461
angles: 94.55 101.37 90.00
Element x y z (fractional)
Ac: 0.356 0.201 0.713
Ac: 0.960 0.739 0.920
Ac: 0.644 0.799 0.287
Ac: 0.040 0.261 0.080
Pm: 0.903 0.459 0.807
Pm: 0.097 0.541 0.193
Pm: 0.823 0.933 0.646
Pm: 0.500 0.000 0.000
Pm: 0.177 0.067 0.354
Pr: 0.716 0.364 0.433
Pr: 0.284 0.636 0.567

---

[5]
DFT (GGA-PBE) results for a relaxed structure of AcPm3Pr5.

Properties
Space-group type   No. 12
Formation energy from the elements   45.99 kJ/mol of atoms
E_tot   -4.219 eV/atom
Energy above the lowest structure with this stoichiometry   298 meV per atom

abc: 8.686 8.686 14.129
angles: 58.83 58.83 85.49
Element x y z (fractional)
Ac: 0.998 0.998 0.748
Ac: 0.002 0.002 0.252
Pm: 0.664 0.664 0.831
Pm: 0.665 0.665 0.321
Pm: 0.000 0.000 0.000
Pm: 0.000 0.000 0.500
Pm: 0.336 0.336 0.169
Pm: 0.335 0.335 0.679
Pr: 0.958 0.451 0.398
Pr: 0.257 0.743 0.000
Pr: 0.658 0.658 0.087
Pr: 0.346 0.346 0.419
Pr: 0.654 0.654 0.581
Pr: 0.342 0.342 0.913
Pr: 0.451 0.958 0.398
Pr: 0.743 0.257 0.000
Pr: 0.042 0.549 0.602
Pr: 0.549 0.042 0.602

---

[6]
DFT (GGA-PBE) results for a relaxed structure of Ac4PmPr7.

Properties
Space-group type   No. 164
Formation energy from the elements   2.89 kJ/mol of atoms
E_tot   -4.523 eV/atom

abc: 3.817 3.817 37.082
angles: 90.00 90.00 120.00
Element x y z (fractional)
Ac: 0.333 0.667 0.915
Ac: 0.667 0.333 0.085
Ac: 0.333 0.667 0.665
Ac: 0.667 0.333 0.335
Pm: 0.000 0.000 0.500
Pr: 0.000 0.000 0.000
Pr: 0.333 0.667 0.420
Pr: 0.667 0.333 0.580
Pr: 0.333 0.667 0.169
Pr: 0.667 0.333 0.831
Pr: 0.000 0.000 0.750
Pr: 0.000 0.000 0.250

---

[7]
DFT (GGA-PBE) results for a relaxed structure of AcPm4Pr6.

Properties
Space-group type   No. 137
Formation energy from the elements   20.89 kJ/mol of atoms
E_tot   -4.492 eV/atom

abc: 6.108 11.589 11.589
angles: 90.00 90.00 90.00
Site moments in Bohr magnetons follow the coordinates.
Element x y z (fractional)
Ac: 0.000 0.500 0.500  0.00
Ac: 0.500 0.000 0.000  0.00
Pm: 0.993 0.000 0.210  0.00
Pm: 0.493 0.710 0.500  0.00
Pm: 0.493 0.290 0.500  0.00
Pm: 0.993 0.000 0.790  0.00
Pm: 0.507 0.500 0.710  0.00
Pm: 0.007 0.210 0.000  0.00
Pm: 0.007 0.790 0.000  0.00
Pm: 0.507 0.500 0.290  0.00
Pr: 0.500 0.794 0.206  0.00
Pr: 0.500 0.206 0.206  0.00
Pr: 0.833 0.000 0.500  0.15
Pr: 0.333 0.000 0.500  0.15
Pr: 0.500 0.206 0.794  0.00
Pr: 0.500 0.794 0.794  0.00
Pr: 0.000 0.706 0.706  0.00
Pr: 0.000 0.294 0.706  0.00
Pr: 0.167 0.500 0.000  0.15
Pr: 0.667 0.500 0.000  0.15
Pr: 0.000 0.706 0.294  0.00
Pr: 0.000 0.294 0.294  0.00

---

[8]
DFT (GGA-PBE) results for a relaxed structure of Ac2PmPr5.

Properties
Space-group type   No. 55
Formation energy from the elements   1.94 kJ/mol of atoms
E_tot   -4.588 eV/atom

abc: 5.346 7.530 15.059
angles: 90.00 90.00 90.00
Element x y z (fractional)
Ac: 0.500 0.249 0.625
Ac: 0.500 0.751 0.375
Ac: 0.500 0.251 0.125
Ac: 0.500 0.749 0.875
Pm: 0.000 0.000 0.500
Pm: 0.000 0.500 0.000
Pr: 0.000 0.000 0.000
Pr: 0.000 0.500 0.500
Pr: 0.000 0.499 0.751
Pr: 0.000 0.501 0.249
Pr: 0.000 0.001 0.251
Pr: 0.000 0.999 0.749
Pr: 0.500 0.249 0.875
Pr: 0.500 0.751 0.125
Pr: 0.500 0.251 0.375
Pr: 0.500 0.749 0.625

---

[9]
DFT (GGA-PBE) results for a relaxed structure of Ac2Pm3Pr.

Properties
Space-group type   No. 58
Formation energy from the elements   9.05 kJ/mol of atoms
E_tot   -4.448 eV/atom
Energy above the lowest structure with this stoichiometry   0 meV per atom

abc: 6.016 10.368 7.298
angles: 90.00 90.00 90.00
Element x y z (fractional)
Ac: 0.500 0.834 0.249
Ac: 0.000 0.334 0.251
Ac: 0.000 0.666 0.749
Ac: 0.500 0.166 0.751
Pm: 0.000 0.000 0.000
Pm: 0.500 0.500 0.500
Pm: 0.500 0.832 0.750
Pm: 0.500 0.168 0.250
Pm: 0.000 0.332 0.750
Pm: 0.000 0.668 0.250
Pr: 0.000 0.000 0.500
Pr: 0.500 0.500 0.000

---

[10]
DFT (GGA-PBE) results for a relaxed structure of Ac7Pm3Pr.

Properties
Space-group type   No. 12
Formation energy from the elements   23.87 kJ/mol of atoms
E_tot   -4.097 eV/atom
Energy above the lowest structure with this stoichiometry   9 meV per atom

abc: 6.916 8.341 8.341
angles: 84.00 84.67 84.67
Element x y z (fractional)
Ac: 0.772 0.235 0.235
Ac: 0.740 0.926 0.582
Ac: 0.260 0.418 0.074
Ac: 0.740 0.582 0.926
Ac: 0.000 0.500 0.500
Ac: 0.260 0.074 0.418
Ac: 0.228 0.765 0.765
Pm: 0.000 0.836 0.164
Pm: 0.500 0.000 0.000
Pm: 0.000 0.164 0.836
Pr: 0.500 0.500 0.500

---

[11]
DFT (GGA-PBE) results for a relaxed structure of Ac3Pm4Pr.

Properties
Space-group type   No. 31
Formation energy from the elements   3.13 kJ/mol of atoms
E_tot   -4.481 eV/atom

abc: 7.529 7.529 10.796
angles: 90.00 90.00 90.00
Element x y z (fractional)
Pr: 0.500 0.811 0.000
Pr: 0.500 0.311 0.500
Ac: 0.001 0.311 0.000
Ac: 0.256 0.061 0.750
Ac: 0.744 0.561 0.750
Ac: 0.999 0.811 0.500
Ac: 0.744 0.561 0.250
Ac: 0.256 0.061 0.250
Pm: 0.000 0.811 0.000
Pm: 0.500 0.310 0.000
Pm: 0.750 0.061 0.750
Pm: 0.250 0.561 0.750
Pm: 0.500 0.810 0.500
Pm: 0.000 0.311 0.500
Pm: 0.250 0.561 0.250
Pm: 0.750 0.061 0.250

---

[12]
DFT (GGA-PBE) results for a relaxed structure of Ac5PmPr4.

Properties
Space-group type   No. 123
Formation energy from the elements   2.56 kJ/mol of atoms
E_tot   -4.415 eV/atom
Energy above the lowest structure with this stoichiometry   5 meV per atom

abc: 3.902 3.902 26.424
angles: 90.00 90.00 90.00
Element x y z (fractional)
Ac: 0.500 0.500 0.099
Ac: 0.500 0.500 0.299
Ac: 0.500 0.500 0.500
Ac: 0.500 0.500 0.701
Ac: 0.500 0.500 0.901
Pm: 0.000 0.000 0.000
Pr: 0.000 0.000 0.199
Pr: 0.000 0.000 0.400
Pr: 0.000 0.000 0.600
Pr: 0.000 0.000 0.801

---

[13]
DFT (GGA-PBE) results for a relaxed structure of Ac6Pm8Pr.

Properties
Space-group type   No. 148
Formation energy from the elements   11.60 kJ/mol of atoms
E_tot   -4.375 eV/atom

abc: 9.566 9.566 9.197
angles: 58.66 58.66 60.00
Element x y z (fractional)
Ac: 0.090 0.541 0.130
Ac: 0.761 0.910 0.870
Ac: 0.459 0.761 0.870
Ac: 0.541 0.239 0.130
Ac: 0.239 0.090 0.130
Ac: 0.910 0.459 0.870
Pm: 0.887 0.294 0.580
Pm: 0.761 0.113 0.420
Pm: 0.706 0.761 0.420
Pm: 0.425 0.425 0.724
Pm: 0.575 0.575 0.276
Pm: 0.294 0.239 0.580
Pm: 0.239 0.887 0.580
Pm: 0.113 0.706 0.420
Pr: 0.000 0.000 0.000

---

[14]
DFT (GGA-PBE) results for a relaxed structure of Ac7PmPr4.

Properties
Space-group type   No. 2
Formation energy from the elements   2.76 kJ/mol of atoms
E_tot   -4.357 eV/atom
Energy above the lowest structure with this stoichiometry   0 meV per atom

abc: 7.759 10.289 9.691
angles: 81.09 89.75 41.08
Element x y z (fractional)
Ac: 0.748 0.503 0.004
Ac: 0.252 0.497 0.996
Ac: 0.972 0.282 0.664
Ac: 0.028 0.718 0.336
Ac: 0.219 0.781 0.669
Ac: 0.500 0.000 0.000
Ac: 0.781 0.219 0.331
Pm: 0.000 0.000 0.000
Pr: 0.525 0.725 0.330
Pr: 0.475 0.275 0.670
Pr: 0.719 0.781 0.666
Pr: 0.281 0.219 0.334

---

[15]
DFT (GGA-PBE) results for a relaxed structure of Ac4Pm2Pr5.

Properties
Space-group type   No. 12
Formation energy from the elements   15.95 kJ/mol of atoms
E_tot   -4.365 eV/atom

abc: 12.370 12.370 9.986
angles: 107.64 107.64 17.57
Element x y z (fractional)
Ac: 0.390 0.390 0.583
Ac: 0.960 0.960 0.302
Ac: 0.610 0.610 0.417
Ac: 0.040 0.040 0.698
Pm: 0.234 0.234 0.360
Pm: 0.766 0.766 0.640
Pr: 0.791 0.791 0.156
Pr: 0.209 0.209 0.844
Pr: 0.870 0.870 0.926
Pr: 0.500 0.500 0.000
Pr: 0.130 0.130 0.074

---

[16]
DFT (GGA-PBE) results for a relaxed structure of AcPm2Pr7.

Properties
Space-group type   No. 65
Formation energy from the elements   56.11 kJ/mol of atoms
E_tot   -4.125 eV/atom
Energy above the lowest structure with this stoichiometry   400 meV per atom

abc: 5.808 9.398 9.398
angles: 122.36 90.00 90.00
Element x y z (fractional)
Ac: 0.000 0.000 0.000
Pm: 0.500 0.701 0.299
Pm: 0.500 0.299 0.701
Pr: 0.000 0.763 0.237
Pr: 0.000 0.237 0.763
Pr: 0.500 0.064 0.300
Pr: 0.500 0.936 0.700
Pr: 0.500 0.300 0.064
Pr: 0.500 0.700 0.936
Pr: 0.500 0.500 0.500

---

[17]
DFT (GGA-PBE) results for a relaxed structure of Ac2Pm7Pr4.

Properties
Space-group type   No. 162
Formation energy from the elements   15.04 kJ/mol of atoms
E_tot   -4.505 eV/atom

abc: 6.382 6.382 13.584
angles: 90.00 90.00 120.00
Element x y z (fractional)
Ac: 0.667 0.333 0.000
Ac: 0.333 0.667 0.000
Pm: 0.000 0.367 0.778
Pm: 0.000 0.633 0.222
Pm: 0.000 0.000 0.000
Pm: 0.367 0.000 0.778
Pm: 0.633 0.000 0.222
Pm: 0.367 0.367 0.222
Pm: 0.633 0.633 0.778
Pr: 0.000 0.000 0.609
Pr: 0.000 0.000 0.391
Pr: 0.667 0.333 0.500
Pr: 0.333 0.667 0.500

---

[18]
DFT (GGA-PBE) results for a relaxed structure of AcPm2Pr6.

Properties
Space-group type   No. 65
Formation energy from the elements   4.69 kJ/mol of atoms
E_tot   -4.650 eV/atom
Energy above the lowest structure with this stoichiometry   0 meV per atom

abc: 3.651 10.177 12.544
angles: 113.93 125.57 90.00
Element x y z (fractional)
Ac: 0.000 0.000 0.000
Pm: 0.334 0.333 0.667
Pm: 0.666 0.667 0.333
Pr: 0.826 0.001 0.663
Pr: 0.174 0.337 0.337
Pr: 0.174 0.999 0.337
Pr: 0.500 0.336 0.000
Pr: 0.826 0.663 0.663
Pr: 0.500 0.664 0.000

---

[19]
DFT (GGA-PBE) results for a relaxed structure of Ac14PmPr.

Properties
Space-group type   No. 38
Formation energy from the elements   2.07 kJ/mol of atoms
E_tot   -4.169 eV/atom

abc: 7.907 7.907 11.248
angles: 90.00 90.00 90.01
Element x y z (fractional)
Ac: 0.375 0.625 0.500
Ac: 0.875 0.125 0.500
Ac: 0.874 0.624 0.000
Ac: 0.876 0.626 0.500
Ac: 0.376 0.126 0.000
Ac: 0.374 0.124 0.500
Ac: 0.625 0.875 0.755
Ac: 0.625 0.875 0.245
Ac: 0.125 0.375 0.755
Ac: 0.125 0.375 0.245
Ac: 0.124 0.876 0.756
Ac: 0.124 0.876 0.244
Ac: 0.626 0.374 0.754
Ac: 0.626 0.374 0.246
Pm: 0.875 0.125 0.000
Pr: 0.375 0.625 0.000

---

[20]
DFT (GGA-PBE) results for a relaxed structure of AcPm7Pr4.

Properties
Space-group type   No. 12
Formation energy from the elements   24.10 kJ/mol of atoms
E_tot   -4.457 eV/atom
Energy above the lowest structure with this stoichiometry   230 meV per atom

abc: 6.265 11.825 6.966
angles: 83.44 63.28 74.64
Element x y z (fractional)
Ac: 0.000 0.000 0.000
Pm: 0.784 0.920 0.512
Pm: 0.216 0.080 0.488
Pm: 0.058 0.666 0.218
Pm: 0.942 0.334 0.782
Pm: 0.370 0.501 0.759
Pm: 0.500 0.000 0.000
Pm: 0.630 0.499 0.241
Pr: 0.633 0.223 0.510
Pr: 0.367 0.777 0.490
Pr: 0.753 0.678 0.816
Pr: 0.247 0.322 0.184